Sm8HoTh2 | GGA-PBE | relaxed

Properties
Its space group is C2/m (12). The volume is 385.9 Å³ per cell. The energy above the most stable polymorph in this dataset is 0.008 eV/atom. The calculated density is 7.88 g/cm³. For the total energy, the calculation gives -4.99 eV/atom.

a b c (Å): 5.7228 10.2254 10.2254
angles (deg): 40.23 92.90 92.90
With the nearest neighbours (Å) after each atom.
Fractional positions:
Sm: 0.2655 0.1377 0.6026  3 Sm 3.27-3.59, 2 Th 3.46-3.59, 1 Ho 3.53
Sm: 0.2655 0.6026 0.1377  3 Sm 3.27-3.59, 2 Th 3.46-3.59, 1 Ho 3.53
Sm: 0.7345 0.8623 0.3974  3 Sm 3.27-3.59, 2 Th 3.46-3.59, 1 Ho 3.53
Sm: 0.2325 0.5479 0.5479  1 Sm 3.15, 1 Th 3.29
Sm: 0.7345 0.3974 0.8623  3 Sm 3.27-3.59, 2 Th 3.46-3.59, 1 Ho 3.53
Sm: 0.2187 0.1838 0.1838  4 Th 3.33-3.60, 4 Sm 3.46-3.70, 1 Ho 3.68
Sm: 0.7813 0.8162 0.8162  4 Th 3.33-3.60, 4 Sm 3.46-3.70, 1 Ho 3.68
Sm: 0.7675 0.4521 0.4521  1 Sm 3.15, 1 Th 3.29
Ho: 0.0000 0.0000 0.0000  10 Sm 3.53-3.85
Th: 0.7192 0.2805 0.2805  9 Sm 3.29-3.60
Th: 0.2808 0.7195 0.7195  9 Sm 3.29-3.60